Material: Re2BiIr
Method: DFT, PBE
State: optimized geometry

Computed properties:
Symmetry ... I-42d, No. 122
DFT formation energy ... 5.520 eV per formula unit

Cell: 5.914 5.914 11.696 Å, 90.00 90.00 90.00°
Sites, in units of the cell vectors:
Re (0.202, 0.250, 0.125)
Re (0.250, 0.702, 0.375)
Re (0.250, 0.798, 0.875)
Re (0.298, 0.250, 0.625)
Re (0.702, 0.750, 0.625)
Re (0.750, 0.202, 0.875)
Re (0.750, 0.298, 0.375)
Re (0.798, 0.750, 0.125)
Bi (0.000, 0.000, 0.500)
Bi (0.000, 0.500, 0.750)
Bi (0.500, 0.000, 0.250)
Bi (0.500, 0.500, 0.000)
Ir (0.000, 0.000, 0.000)
Ir (0.000, 0.500, 0.250)
Ir (0.500, 0.000, 0.750)
Ir (0.500, 0.500, 0.500)

***

Material: Ta2IrPb
Method: DFT, PBE
State: optimized geometry

Computed properties:
Symmetry ... Cmmm, No. 65
DFT formation energy ... 0.993 eV per formula unit

Cell: 5.812 8.412 3.008 Å, 90.00 90.00 90.00°
Sites, in units of the cell vectors:
Ta (0.250, 0.250, 0.000)
Ta (0.250, 0.750, 0.000)
Ta (0.750, 0.250, 0.000)
Ta (0.750, 0.750, 0.000)
Ir (0.000, 0.000, 0.500)
Ir (0.500, 0.500, 0.500)
Pb (0.000, 0.500, 0.500)
Pb (0.500, 0.000, 0.500)

***

- The highest DFT formation energy belongs to which entry?
  Re2BiIr

***

- Among the records above, which one has the lowest DFT formation energy?
  Ta2IrPb

***

- Among the records above, which one has the lowest DFT formation energy?
  Ta2IrPb

***

- Among the records above, which one has the lowest DFT formation energy?
  Ta2IrPb